NaDyVO4: optimized geometry, PBE with a Hubbard U.

Structure (POSCAR):
```
NaDyVO4
1.0
-3.000 -4.079 2.986
5.181 -2.807 1.372
1.865 5.299 3.798
Na Dy V O
2 2 2 8
Cartesian
3.643 0.207 6.678
0.404 -1.793 1.477
2.286 -2.964 5.315
1.761 1.378 2.840
3.681 -1.485 3.073
0.366 -0.102 5.082
0.788 -1.581 6.199
5.487 -1.213 2.546
3.258 -0.005 1.956
-1.441 -0.374 5.609
2.840 -3.051 3.043
1.206 1.465 5.112
3.507 -0.988 4.745
0.540 -0.598 3.410
```

energy = -100.0 eV/cell
crystal system = monoclinic
symmetry = No. 11
calculated volume = 221 Å³ per cell
total magnetization = 1.00 μB/f.u.